An optimized crystal structure of NiTe3H, computed with PBE.

Values from the calculation:
E above lowest polymorph   0.8623 eV per atom
Electronic total energy   -2.85 eV/atom
Space-group type   Pm-3m (221)

```
data_NiTe3H
_space_group_name_H-M_alt 'P 1'
_space_group_IT_number 1
_cell_length_a 4.615
_cell_length_b 4.615
_cell_length_c 4.615
_cell_angle_alpha 90.00
_cell_angle_beta 90.00
_cell_angle_gamma 90.00
loop_
_space_group_symop_operation_xyz
'x,y,z'
loop_
_atom_site_label
_atom_site_type_symbol
_atom_site_fract_x
_atom_site_fract_y
_atom_site_fract_z
Ni1 Ni 0.000 0.000 0.000
Te1 Te 0.000 0.500 0.500
Te2 Te 0.500 0.000 0.500
Te3 Te 0.500 0.500 0.000
H1 H 0.500 0.500 0.500
```